Entry 1:
Density functional theory data (PBE-GGA) for a relaxed NaMg2ScTe crystal.

E_tot	-2.426	eV/atom
ΔE_f (raw)	0.371	eV/atom

The structure in CIF format:
```
data_NaMg2ScTe
_space_group_name_H-M_alt 'P 4/m m m'
_space_group_IT_number 123
_space_group_name_Hall '-P 4 2'
_cell_length_a 5.519
_cell_length_b 5.519
_cell_length_c 5.489
_cell_angle_alpha 90.00
_cell_angle_beta 90.00
_cell_angle_gamma 90.00
loop_
_atom_site_label
_atom_site_type_symbol
_atom_site_fract_x
_atom_site_fract_y
_atom_site_fract_z
Na1 Na 0.000 0.000 0.000
Mg1 Mg 0.000 0.500 0.500
Sc1 Sc 0.500 0.500 0.000
Te1 Te 0.000 0.000 0.500
```

Entry 2:
Density functional theory data (PBE-GGA) for a relaxed NaMgSc2Te4 crystal.

E_tot	-4.530	eV/atom
ΔE_f (raw)	-1.012	eV/atom

The structure in CIF format:
```
data_NaMgSc2Te4
_space_group_name_H-M_alt 'I -4 m 2'
_space_group_IT_number 119
_space_group_name_Hall 'I -4 -2'
_cell_length_a 5.998
_cell_length_b 5.998
_cell_length_c 12.101
_cell_angle_alpha 90.00
_cell_angle_beta 90.00
_cell_angle_gamma 90.00
loop_
_atom_site_label
_atom_site_type_symbol
_atom_site_fract_x
_atom_site_fract_y
_atom_site_fract_z
Na1 Na 0.000 0.000 0.000
Mg1 Mg 0.000 0.500 0.750
Sc1 Sc 0.000 0.000 0.500
Sc2 Sc 0.000 0.500 0.250
Te1 Te 0.000 0.000 0.258
Te2 Te 0.000 0.500 0.003
```

Entry 3:
Density functional theory data (PBE-GGA) for a relaxed Na3MgSc2Te6 crystal.

E_tot	-4.110	eV/atom
ΔE_f (raw)	-1.022	eV/atom

The structure in CIF format:
```
data_Na3MgSc2Te6
_space_group_name_H-M_alt 'C 1 2/m 1'
_space_group_IT_number 12
_cell_length_a 7.266
_cell_length_b 12.597
_cell_length_c 8.044
_cell_angle_alpha 90.00
_cell_angle_beta 107.56
_cell_angle_gamma 90.00
loop_
_space_group_symop_operation_xyz
'x,y,z'
'-x,-y,-z'
'-x,y,-z'
'x,-y,z'
'x+1/2,y+1/2,z'
'-x+1/2,-y+1/2,-z'
'-x+1/2,y+1/2,-z'
'x+1/2,-y+1/2,z'
loop_
_atom_site_label
_atom_site_type_symbol
_atom_site_fract_x
_atom_site_fract_y
_atom_site_fract_z
Na1 Na 0.000 0.000 0.000
Na2 Na 0.000 0.334 0.000
Mg1 Mg 0.000 0.500 0.500
Sc1 Sc 0.000 0.167 0.500
Te1 Te 0.236 0.000 0.721
Te2 Te 0.242 0.331 0.720
```